# 1
ScTlTe2 | PBE | optimized geometry

POSCAR file:
```
ScTlTe2
1.0
4.413 0.000 0.000
0.000 4.413 0.000
0.000 0.000 6.229
Sc Tl Te
1 1 2
direct
0.000 0.000 0.000
0.500 0.500 0.503
0.000 0.000 0.506
0.500 0.500 0.003
```

Calculated values
SG: P4mm, No. 99

# 2
PmAsRh | PBE | optimized geometry

POSCAR file:
```
PmAsRh
1.0
0.000 3.222 3.222
3.222 0.000 3.222
3.222 3.222 0.000
Pm As Rh
1 1 1
direct
0.000 0.000 0.000
0.500 0.500 0.500
0.250 0.250 0.250
```

Calculated values
SG: F-43m, No. 216
Energy of formation, eV per atom: -0.827

# 3
YMgMo2 | PBE | optimized geometry

POSCAR file:
```
YMgMo2
1.0
2.872 -4.770 0.000
2.872 4.770 0.000
0.000 0.000 2.813
Y Mg Mo
1 1 2
direct
0.000 0.000 0.000
0.500 0.500 0.000
0.000 0.500 0.500
0.500 0.000 0.500
```

Calculated values
SG: Cmmm, No. 65
Energy of formation, eV per atom: 0.527

# 4
Y2ErS | PBE | optimized geometry

POSCAR file:
```
Y2ErS
1.0
1.835 1.059 9.931
-1.835 1.059 9.931
0.000 -2.119 9.931
Y Er S
2 1 1
direct
0.112 0.112 0.112
0.888 0.888 0.888
0.000 0.000 0.000
0.500 0.500 0.500
```

Calculated values
SG: R-3m, No. 166

# 5
CsBa2TiBr8 | PBE | optimized geometry

POSCAR file:
```
CsBa2TiBr8
1.0
7.069 0.000 0.000
-0.017 7.097 0.000
-0.044 -0.018 9.951
Cs Ba Ti Br
1 2 1 8
direct
0.000 0.000 0.000
0.498 0.499 0.740
0.502 0.501 0.260
0.000 0.000 0.500
0.213 0.854 0.316
0.217 0.858 0.685
0.223 0.307 0.498
0.253 0.414 0.000
0.747 0.586 0.000
0.777 0.693 0.502
0.783 0.142 0.315
0.787 0.146 0.684
```

Calculated values
SG: P-1, No. 2

# 6
SrS2F | PBE | optimized geometry

POSCAR file:
```
SrS2F
1.0
0.000 3.498 3.498
3.498 0.000 3.498
3.498 3.498 0.000
Sr S F
1 2 1
direct
0.000 0.000 0.000
0.250 0.250 0.250
0.750 0.750 0.750
0.500 0.500 0.500
```

Calculated values
SG: Fm-3m, No. 225

# 7
Er2TlAgSe4 | PBE | optimized geometry

POSCAR file:
```
Er2TlAgSe4
1.0
2.074 -6.971 0.000
2.074 6.971 0.000
0.000 0.000 14.854
Er Tl Ag Se
4 2 2 8
direct
0.130 0.870 0.569
0.130 0.870 0.931
0.870 0.130 0.069
0.870 0.130 0.431
0.376 0.624 0.750
0.624 0.376 0.250
0.333 0.667 0.250
0.667 0.333 0.750
0.051 0.949 0.750
0.235 0.765 0.100
0.235 0.765 0.400
0.500 0.500 0.000
0.500 0.500 0.500
0.765 0.235 0.600
0.765 0.235 0.900
0.949 0.051 0.250
```

Calculated values
SG: Cmcm, No. 63

# 8
Sn2PtWS | PBE | optimized geometry

POSCAR file:
```
Sn2PtWS
1.0
5.140 0.000 0.000
0.000 5.140 0.000
0.000 0.000 4.371
Sn Pt W S
2 1 1 1
direct
0.000 0.500 0.000
0.500 0.000 0.000
0.000 0.000 0.500
0.500 0.500 0.500
0.500 0.500 0.000
```

Calculated values
SG: P4/mmm, No. 123

| no. | raw total energy (eV/atom) |
| --- | --- |
| 1 | -4.3789 |
| 2 | -6.4109 |
| 3 | -6.9034 |
| 4 | -6.1326 |
| 5 | -3.8816 |
| 6 | -3.6390 |
| 7 | -4.7929 |
| 8 | -5.2731 |